# CaSc4Cd (PBE, relaxed)
data_CaSc4Cd
_chemical_formula_sum 'Ca4 Sc16 Cd4'
_cell_length_a 8.623
_cell_length_b 8.623
_cell_length_c 8.623
_cell_angle_alpha 90.00
_cell_angle_beta 90.00
_cell_angle_gamma 90.00
_symmetry_space_group_name_H-M 'F -4 3 m'
_symmetry_Int_Tables_number 216
_symmetry_space_group_name_Hall 'F -4 2 3'
loop_
_atom_site_label
_atom_site_type_symbol
_atom_site_fract_x
_atom_site_fract_y
_atom_site_fract_z
Ca1 Ca 0.000 0.000 0.000
Sc1 Sc 0.124 0.124 0.376
Cd1 Cd 0.250 0.250 0.750
# Density of states at the Fermi level: 31.9 states/eV/cell
# E_form: 193 meV/atom
# Raw total energy: -108.3 eV/cell
# Size of the total moment: 0.0000 μB/atom
# V: 641.2 Å³ per cell

# MgPdSe (PBE, relaxed)
data_MgPdSe
_chemical_formula_sum 'Mg4 Pd4 Se4'
_cell_length_a 7.849
_cell_length_b 3.870
_cell_length_c 8.271
_cell_angle_alpha 90.00
_cell_angle_beta 90.00
_cell_angle_gamma 90.00
_symmetry_space_group_name_H-M 'P n m a'
_symmetry_Int_Tables_number 62
_symmetry_space_group_name_Hall '-P 2ac 2n'
loop_
_atom_site_label
_atom_site_type_symbol
_atom_site_fract_x
_atom_site_fract_y
_atom_site_fract_z
Mg1 Mg 0.083 0.250 0.163
Pd1 Pd 0.236 0.750 0.970
Se1 Se 0.181 0.250 0.761
# Raw formation energy: -0.570 eV/atom
# Density of states at the Fermi level: 1.3 states/eV/cell
# Raw total energy: -47.9 eV/cell
# Size of the total moment: 0.0000 μB/atom
# V: 251.2 Å³ per cell